#one
{"formula": "BaErPO", "functional": "GGA-PBE", "state": "relaxed", "lattice_angstrom": [[3.984, 0.000, 0.000], [0.000, 6.886, 0.000], [0.000, 0.000, 7.437]], "species": ["Ba", "Ba", "Er", "Er", "P", "P", "O", "O"], "frac_coords": [[0.000, 0.061, 0.000], [0.000, 0.939, 0.500], [0.500, 0.389, 0.364], [0.500, 0.611, 0.864], [0.500, 0.255, 0.714], [0.500, 0.745, 0.214], [0.000, 0.274, 0.294], [0.000, 0.726, 0.794]], "space_group": "No. 26", "crystal_system": "orthorhombic"}

=====

#two
{"formula": "BaErPO", "functional": "GGA-PBE", "state": "relaxed", "lattice_angstrom": [[5.487, 0.000, 0.000], [0.000, 5.487, 0.000], [0.000, 0.000, 6.144]], "species": ["Ba", "Ba", "Er", "Er", "P", "P", "O", "O"], "frac_coords": [[0.250, 0.250, 0.003], [0.750, 0.750, 0.997], [0.250, 0.750, 0.500], [0.750, 0.250, 0.500], [0.250, 0.250, 0.504], [0.750, 0.750, 0.496], [0.250, 0.750, 0.000], [0.750, 0.250, 0.000]], "space_group": "No. 129", "crystal_system": "tetragonal"}

=====

Result of the stability comparison: #two is the least stable of them.

=====

#one
{"formula": "Ba2ErOsSe6", "functional": "GGA-PBE", "state": "relaxed", "lattice_angstrom": [[-3.597, 3.597, 5.354], [3.597, -3.597, 5.354], [3.597, 3.597, -5.354]], "species": ["Ba", "Ba", "Er", "Os", "Se", "Se", "Se", "Se", "Se", "Se"], "frac_coords": [[0.250, 0.750, 0.500], [0.750, 0.250, 0.500], [0.000, 0.000, 0.000], [0.500, 0.500, 0.000], [0.202, 0.322, 0.524], [0.263, 0.263, 0.000], [0.322, 0.798, 0.119], [0.678, 0.202, 0.881], [0.737, 0.737, 0.000], [0.798, 0.678, 0.476]], "space_group": "No. 87", "crystal_system": "tetragonal"}

=====

#two
{"formula": "Ba2ErOsSe6", "functional": "GGA-PBE", "state": "relaxed", "lattice_angstrom": [[6.358, -3.670, 0.000], [6.358, 3.670, 0.000], [-4.241, 0.000, 5.997]], "species": ["Ba", "Ba", "Er", "Os", "Se", "Se", "Se", "Se", "Se", "Se"], "frac_coords": [[0.250, 0.250, 0.250], [0.750, 0.750, 0.750], [0.000, 0.000, 0.500], [0.500, 0.500, 0.000], [0.256, 0.734, 0.756], [0.261, 0.261, 0.770], [0.266, 0.744, 0.244], [0.734, 0.256, 0.756], [0.739, 0.739, 0.230], [0.744, 0.266, 0.244]], "space_group": "No. 12", "crystal_system": "monoclinic"}

=====

Result of the stability comparison: #two is the least stable of them.

=====

#one
{"formula": "BaEr2P2", "functional": "GGA-PBE", "state": "relaxed", "lattice_angstrom": [[8.935, 0.000, 0.000], [0.000, 8.935, 0.000], [0.000, 0.000, 7.428]], "species": ["Ba", "Ba", "Ba", "Ba", "Er", "Er", "Er", "Er", "Er", "Er", "Er", "Er", "P", "P", "P", "P", "P", "P", "P", "P"], "frac_coords": [[0.000, 0.000, 0.000], [0.000, 0.000, 0.500], [0.000, 0.500, 0.370], [0.500, 0.000, 0.870], [0.194, 0.500, 0.952], [0.322, 0.500, 0.483], [0.500, 0.194, 0.452], [0.500, 0.322, 0.983], [0.500, 0.678, 0.983], [0.500, 0.806, 0.452], [0.678, 0.500, 0.483], [0.806, 0.500, 0.952], [0.260, 0.273, 0.213], [0.260, 0.727, 0.213], [0.273, 0.260, 0.713], [0.273, 0.740, 0.713], [0.727, 0.260, 0.713], [0.727, 0.740, 0.713], [0.740, 0.273, 0.213], [0.740, 0.727, 0.213]], "space_group": "No. 105", "crystal_system": "tetragonal"}

=====

#two
{"formula": "BaEr2P2", "functional": "GGA-PBE", "state": "relaxed", "lattice_angstrom": [[4.507, 0.000, 0.000], [-2.253, 3.903, 0.000], [0.000, 0.000, 8.178]], "species": ["Ba", "Er", "Er", "P", "P"], "frac_coords": [[0.000, 0.000, 0.000], [0.333, 0.667, 0.632], [0.667, 0.333, 0.368], [0.333, 0.667, 0.266], [0.667, 0.333, 0.734]], "space_group": "No. 164", "crystal_system": "trigonal"}

=====

Result of the stability comparison: #one is the least stable of them.

=====

#one
{"formula": "BaErPd", "functional": "GGA-PBE", "state": "relaxed", "lattice_angstrom": [[0.000, 3.658, 3.658], [3.658, 0.000, 3.658], [3.658, 3.658, 0.000]], "species": ["Ba", "Er", "Pd"], "frac_coords": [[0.000, 0.000, 0.000], [0.500, 0.500, 0.500], [0.250, 0.250, 0.250]], "space_group": "No. 216", "crystal_system": "cubic"}

=====

#two
{"formula": "BaErPd", "functional": "GGA-PBE", "state": "relaxed", "lattice_angstrom": [[0.000, 3.570, 3.570], [3.570, 0.000, 3.570], [3.570, 3.570, 0.000]], "species": ["Ba", "Er", "Pd"], "frac_coords": [[0.000, 0.000, 0.000], [0.750, 0.750, 0.750], [0.250, 0.250, 0.250]], "space_group": "No. 216", "crystal_system": "cubic"}

=====

Result of the stability comparison: #two is the least stable of them.

=====

#one
{"formula": "RbBaErSe3", "functional": "GGA-PBE", "state": "relaxed", "lattice_angstrom": [[13.303, 0.000, 0.000], [0.000, 4.301, 0.000], [0.000, 0.000, 14.049]], "species": ["Rb", "Rb", "Rb", "Rb", "Ba", "Ba", "Ba", "Ba", "Er", "Er", "Er", "Er", "Se", "Se", "Se", "Se", "Se", "Se", "Se", "Se", "Se", "Se", "Se", "Se"], "frac_coords": [[0.117, 0.250, 0.070], [0.383, 0.750, 0.570], [0.617, 0.250, 0.430], [0.883, 0.750, 0.930], [0.129, 0.250, 0.417], [0.371, 0.750, 0.917], [0.629, 0.250, 0.083], [0.871, 0.750, 0.583], [0.151, 0.250, 0.744], [0.349, 0.750, 0.244], [0.651, 0.250, 0.756], [0.849, 0.750, 0.256], [0.120, 0.750, 0.602], [0.129, 0.750, 0.873], [0.145, 0.750, 0.251], [0.355, 0.250, 0.751], [0.371, 0.250, 0.373], [0.380, 0.250, 0.102], [0.620, 0.750, 0.898], [0.629, 0.750, 0.627], [0.645, 0.750, 0.249], [0.855, 0.250, 0.749], [0.871, 0.250, 0.127], [0.880, 0.250, 0.398]], "space_group": "No. 62", "crystal_system": "orthorhombic"}

=====

#two
{"formula": "RbBaErSe3", "functional": "GGA-PBE", "state": "relaxed", "lattice_angstrom": [[2.132, -9.566, 0.000], [2.132, 9.566, 0.000], [0.000, 0.000, 12.304]], "species": ["Rb", "Rb", "Ba", "Ba", "Er", "Er", "Se", "Se", "Se", "Se", "Se", "Se"], "frac_coords": [[0.141, 0.859, 0.750], [0.859, 0.141, 0.250], [0.116, 0.884, 0.250], [0.884, 0.116, 0.750], [0.500, 0.500, 0.000], [0.500, 0.500, 0.500], [0.102, 0.898, 0.002], [0.102, 0.898, 0.498], [0.499, 0.501, 0.250], [0.501, 0.499, 0.750], [0.898, 0.102, 0.502], [0.898, 0.102, 0.998]], "space_group": "No. 63", "crystal_system": "orthorhombic"}

=====

Result of the stability comparison: #two is the least stable of them.

=====

#one
{"formula": "BaErRe", "functional": "GGA-PBE", "state": "relaxed", "lattice_angstrom": [[0.000, 3.532, 3.532], [3.532, 0.000, 3.532], [3.532, 3.532, 0.000]], "species": ["Ba", "Er", "Re"], "frac_coords": [[0.000, 0.000, 0.000], [0.250, 0.250, 0.250], [0.500, 0.500, 0.500]], "space_group": "No. 216", "crystal_system": "cubic"}

=====

#two
{"formula": "BaErRe", "functional": "GGA-PBE", "state": "relaxed", "lattice_angstrom": [[0.000, 3.467, 3.467], [3.467, 0.000, 3.467], [3.467, 3.467, 0.000]], "species": ["Ba", "Er", "Re"], "frac_coords": [[0.000, 0.000, 0.000], [0.750, 0.750, 0.750], [0.250, 0.250, 0.250]], "space_group": "No. 216", "crystal_system": "cubic"}

=====

Result of the stability comparison: #two is the least stable of them.